# 1
DFT (PBE) results for crystalline CsLiCu at its relaxed geometry.

a = 5.548 Å, b = 5.548 Å, c = 5.548 Å
α = 60.00°, β = 60.00°, γ = 60.00°
Atoms (fractional coordinates):
Cu  0.000  0.000  0.000
Li  0.750  0.750  0.750
Cs  0.250  0.250  0.250

Summary:
Raw total energy: -1.621 eV per atom
E above lowest polymorph: 0.0 meV/atom

# 2
DFT (PBE) results for crystalline LiTbPO at its relaxed geometry.

a = 3.775 Å, b = 3.775 Å, c = 9.379 Å
α = 90.00°, β = 90.00°, γ = 90.00°
Atoms (fractional coordinates):
O  0.500  0.500  0.000
O  0.000  0.000  0.000
P  0.500  0.000  0.318
P  0.000  0.500  0.682
Tb  0.500  0.000  0.874
Tb  0.000  0.500  0.126
Li  0.500  0.500  0.500
Li  0.000  0.000  0.500

Summary:
Raw total energy: -6.016 eV per atom
E above lowest polymorph: 0.0 meV/atom

# 3
DFT (PBE) results for crystalline Dy2Mo2C3 at its relaxed geometry.

a = 5.902 Å, b = 5.902 Å, c = 5.705 Å
α = 107.02°, β = 107.02°, γ = 33.44°
Atoms (fractional coordinates):
Dy  0.614  0.614  0.821
Dy  0.386  0.386  0.179
C  0.271  0.271  0.742
C  0.000  0.000  0.500
C  0.729  0.729  0.258
Mo  0.150  0.150  0.374
Mo  0.850  0.850  0.626

Summary:
Raw total energy: -8.691 eV per atom

# 4
DFT (PBE) results for crystalline SrIn2Pt at its relaxed geometry.

a = 8.025 Å, b = 5.935 Å, c = 5.935 Å
α = 44.71°, β = 90.00°, γ = 90.00°
Atoms (fractional coordinates):
Sr  0.000  0.938  0.938
Sr  0.500  0.062  0.062
Pt  0.000  0.220  0.220
Pt  0.500  0.780  0.780
In  0.304  0.349  0.349
In  0.696  0.349  0.349
In  0.197  0.651  0.651
In  0.803  0.651  0.651

Summary:
Raw total energy: -3.978 eV per atom

# 5
DFT (PBE) results for crystalline BaPuAg2Se2S2 at its relaxed geometry.

a = 6.517 Å, b = 6.517 Å, c = 6.948 Å
α = 120.91°, β = 120.91°, γ = 80.14°
Each line ends with the local moment (μB).
Atoms (fractional coordinates):
Ag  0.670  0.330  0.000  -0.03
Ag  0.308  0.692  0.000  -0.03
Se  0.089  0.473  0.499  -0.08
Se  0.527  0.911  0.501  -0.09
S  0.476  0.098  0.068  -0.09
S  0.902  0.524  0.932  -0.09
Ba  0.007  0.993  0.500  0.00
Pu  0.522  0.478  0.500  4.86

Summary:
Raw total energy: -5.567 eV per atom

# 6
DFT (PBE) results for crystalline PaGeAsO at its relaxed geometry.

a = 3.954 Å, b = 3.954 Å, c = 10.269 Å
α = 90.00°, β = 90.00°, γ = 90.00°
Atoms (fractional coordinates):
Ge  0.250  0.750  0.500
Ge  0.750  0.250  0.500
O  0.750  0.250  0.000
O  0.250  0.750  0.000
Pa  0.750  0.750  0.865
Pa  0.250  0.250  0.135
As  0.250  0.250  0.728
As  0.750  0.750  0.272

Summary:
Raw total energy: -6.915 eV per atom
E above lowest polymorph: 0.0 meV/atom

# 7
DFT (PBE) results for crystalline CoSN at its relaxed geometry.

a = 2.912 Å, b = 4.943 Å, c = 4.953 Å
α = 90.00°, β = 90.00°, γ = 90.00°
Each line ends with the local moment (μB).
Atoms (fractional coordinates):
N  0.000  0.870  0.381  -0.01
N  0.000  0.130  0.881  0.00
Co  0.000  0.773  0.009  0.08
Co  0.000  0.227  0.509  0.08
S  0.000  0.643  0.610  0.00
S  0.000  0.357  0.110  0.00

Summary:
Raw total energy: -6.373 eV per atom
E above lowest polymorph: 0.0 meV/atom

# 8
DFT (PBE) results for crystalline PrC at its relaxed geometry.

a = 4.035 Å, b = 4.035 Å, c = 4.035 Å
α = 60.00°, β = 60.00°, γ = 60.00°
Atoms (fractional coordinates):
C  0.000  0.000  0.000
Pr  0.250  0.250  0.250

Summary:
Raw total energy: -6.391 eV per atom
E above lowest polymorph: 241.8 meV/atom

Copy entry 4 word for word.
DFT (PBE) results for crystalline SrIn2Pt at its relaxed geometry.

a = 8.025 Å, b = 5.935 Å, c = 5.935 Å
α = 44.71°, β = 90.00°, γ = 90.00°
Atoms (fractional coordinates):
Sr  0.000  0.938  0.938
Sr  0.500  0.062  0.062
Pt  0.000  0.220  0.220
Pt  0.500  0.780  0.780
In  0.304  0.349  0.349
In  0.696  0.349  0.349
In  0.197  0.651  0.651
In  0.803  0.651  0.651

Summary:
Raw total energy: -3.978 eV per atom

> Which of these has the lowest raw total energy?

Dy2Mo2C3